No. 1
Compound: CeHo2GaC
Source: Alexandria via LeMat-Bulk
Functional: PBE-GGA
Structure: relaxed

Cell lengths 4.863, 4.863, 4.833 Å; angles 90.00, 90.00, 90.00 degrees
Space group P4/mmm (No. 123)
Symmetry-distinct sites (fractional):
1 Ce 0.000 0.000 0.000 [1 per cell]
2 Ho 0.000 0.500 0.500 [2 per cell]
3 Ga 0.500 0.500 0.000 [1 per cell]
4 C 0.000 0.000 0.500 [1 per cell]

Summary:
- total energy (eV per atom) = -5.86
- mass density (g/cm³) = 8.0
- Fermi-level density of states (states/eV/atom) = 0.936

=====

No. 2
Compound: Ti12Zn2Ir5
Source: Alexandria via LeMat-Bulk
Functional: PBE-GGA
Structure: relaxed

Cell lengths 13.888, 5.975, 8.193 Å; angles 90.00, 98.19, 90.00 degrees
Space group C2/m (No. 12)
Symmetry-distinct sites (fractional):
1 Ti 0.018 0.000 0.323 [4 per cell]
2 Ti 0.072 0.500 0.820 [4 per cell]
3 Ti 0.143 0.237 0.577 [8 per cell]
4 Ti 0.185 0.259 0.128 [8 per cell]
5 Zn 0.000 0.202 0.000 [4 per cell]
6 Ir 0.000 0.500 0.500 [2 per cell]
7 Ir 0.158 0.000 0.870 [4 per cell]
8 Ir 0.215 0.000 0.364 [4 per cell]

Summary:
- total energy (eV per atom) = -7.73
- mass density (g/cm³) = 8.2
- Fermi-level density of states (states/eV/atom) = 1.119

=====

No. 3
Compound: Y4ScBi5
Source: Alexandria via LeMat-Bulk
Functional: PBE-GGA
Structure: relaxed

Cell lengths 9.928, 9.928, 6.294 Å; angles 90.00, 90.00, 90.00 degrees
Space group I4/m (No. 87)
Symmetry-distinct sites (fractional):
1 Y 0.096 0.699 0.000 [8 per cell]
2 Sc 0.000 0.000 0.500 [2 per cell]
3 Bi 0.000 0.000 0.000 [2 per cell]
4 Bi 0.099 0.709 0.500 [8 per cell]

Summary:
- total energy (eV per atom) = -6.00
- mass density (g/cm³) = 7.7
- Fermi-level density of states (states/eV/atom) = 0.182

=====

No. 4
Compound: BaLa4Cu
Source: Alexandria via LeMat-Bulk
Functional: PBE-GGA
Structure: relaxed

Cell lengths 9.540, 9.540, 9.540 Å; angles 90.00, 90.00, 90.00 degrees
Space group F-43m (No. 216)
Symmetry-distinct sites (fractional):
1 Ba 0.000 0.000 0.000 [4 per cell]
2 La 0.120 0.120 0.380 [16 per cell]
3 Cu 0.250 0.250 0.750 [4 per cell]

Summary:
- total energy (eV per atom) = -3.79
- mass density (g/cm³) = 5.8
- Fermi-level density of states (states/eV/atom) = 1.382

=====

No. 5
Compound: YErNO
Source: Alexandria via LeMat-Bulk
Functional: PBE-GGA
Structure: relaxed

Cell lengths 3.4111, 3.4111, 16.8741 Å; angles 90.00, 90.00, 120.00 degrees
Space group R3m (No. 160, hexagonal axes)
Symmetry-distinct sites (fractional):
1 Y 0.0000 0.0000 0.0000 [3 per cell]
2 Er 0.0000 0.0000 0.4929 [3 per cell]
3 N 0.0000 0.0000 0.7491 [3 per cell]
4 O 0.0000 0.0000 0.2443 [3 per cell]

Summary:
- total energy (eV per atom) = -8.45
- mass density (g/cm³) = 8.4
- Fermi-level density of states (states/eV/atom) = 0.251

=====

No. 6
Compound: PuMo5
Source: Alexandria via LeMat-Bulk
Functional: PBE-GGA
Structure: relaxed

Cell lengths 4.583, 13.832, 3.176 Å; angles 90.00, 90.00, 90.00 degrees
Space group Cmmm (No. 65)
Symmetry-distinct sites (fractional):
1 Pu 0.000 0.000 0.000 [2 per cell]
2 Mo 0.000 0.170 0.500 [4 per cell]
3 Mo 0.000 0.326 0.000 [4 per cell]
4 Mo 0.000 0.500 0.500 [2 per cell]

Summary:
- total energy (eV per atom) = -11.24
- mass density (g/cm³) = 11.9
- Fermi-level density of states (states/eV/atom) = 1.334

=====

No. 7
Compound: Al2IrF
Source: Alexandria via LeMat-Bulk
Functional: PBE-GGA
Structure: relaxed

Cell lengths 5.974, 5.974, 6.215 Å; angles 90.00, 90.00, 90.00 degrees
Space group I-42d (No. 122)
Symmetry-distinct sites (fractional):
1 Al 0.198 0.750 0.125 [8 per cell]
2 Ir 0.000 0.000 0.500 [4 per cell]
3 F 0.000 0.000 0.000 [4 per cell]

Summary:
- total energy (eV per atom) = -5.55
- mass density (g/cm³) = 7.9
- Fermi-level density of states (states/eV/atom) = 0.005

=====

No. 8
Compound: LiLaInTe3
Source: Alexandria via LeMat-Bulk
Functional: PBE-GGA
Structure: relaxed

Cell lengths 9.201, 4.393, 9.653 Å; angles 90.00, 105.58, 90.00 degrees
Space group P2_1/m (No. 11)
Symmetry-distinct sites (fractional):
1 Li 0.093 0.250 0.096 [2 per cell]
2 La 0.183 0.250 0.738 [2 per cell]
3 In 0.338 0.750 0.352 [2 per cell]
4 Te 0.094 0.250 0.382 [2 per cell]
5 Te 0.224 0.750 0.002 [2 per cell]
6 Te 0.425 0.750 0.682 [2 per cell]

Summary:
- total energy (eV per atom) = -4.11
- mass density (g/cm³) = 5.7
- Fermi-level density of states (states/eV/atom) = 0.468

=====

No. 9
Compound: Pm3GaH
Source: Alexandria via LeMat-Bulk
Functional: PBE-GGA
Structure: relaxed

Cell lengths 6.615, 6.480, 11.130 Å; angles 90.00, 95.46, 90.00 degrees
Space group P2_1/c (No. 14)
Symmetry-distinct sites (fractional):
1 Pm 0.080 0.048 0.157 [4 per cell]
2 Pm 0.214 0.535 0.088 [4 per cell]
3 Pm 0.396 0.165 0.877 [4 per cell]
4 Ga 0.356 0.692 0.849 [4 per cell]
5 H 0.082 0.232 0.971 [4 per cell]

Summary:
- total energy (eV per atom) = -4.47
- mass density (g/cm³) = 7.1
- Fermi-level density of states (states/eV/atom) = 0.905

=====

No. 10
Compound: In2HgBr
Source: Alexandria via LeMat-Bulk
Functional: PBE-GGA
Structure: relaxed

Cell lengths 4.352, 6.007, 9.088 Å; angles 90.00, 90.00, 90.00 degrees
Space group Cmmm (No. 65)
Symmetry-distinct sites (fractional):
1 In 0.000 0.000 0.250 [4 per cell]
2 Hg 0.000 0.500 0.000 [2 per cell]
3 Br 0.000 0.500 0.500 [2 per cell]

Summary:
- total energy (eV per atom) = -2.07
- mass density (g/cm³) = 7.1
- Fermi-level density of states (states/eV/atom) = 0.286

=====

No. 11
Compound: Na2In2SnHg2
Source: Alexandria via LeMat-Bulk
Functional: PBE-GGA
Structure: relaxed

Cell lengths 5.0722, 5.0722, 25.3096 Å; angles 90.00, 90.00, 120.00 degrees
Space group R-3m (No. 166, hexagonal axes)
Symmetry-distinct sites (fractional):
1 Na 0.0000 0.0000 0.1355 [6 per cell]
2 In 0.0000 0.0000 0.2824 [6 per cell]
3 Sn 0.0000 0.0000 0.0000 [3 per cell]
4 Hg 0.0000 0.0000 0.4327 [6 per cell]

Summary:
- total energy (eV per atom) = -1.92
- mass density (g/cm³) = 7.0
- Fermi-level density of states (states/eV/atom) = 0.344

=====

No. 12
Compound: ScTiS2N
Source: Alexandria via LeMat-Bulk
Functional: PBE-GGA
Structure: relaxed

Cell lengths 4.857, 4.857, 3.936 Å; angles 90.00, 90.00, 90.00 degrees
Space group P4/mmm (No. 123)
Symmetry-distinct sites (fractional):
1 Sc 0.000 0.000 0.000 [1 per cell]
2 Ti 0.500 0.500 0.500 [1 per cell]
3 S 0.000 0.500 0.000 [2 per cell]
4 N 0.000 0.000 0.500 [1 per cell]

Summary:
- total energy (eV per atom) = -6.22
- mass density (g/cm³) = 3.1
- Fermi-level density of states (states/eV/atom) = 1.336

=====

No. 13
Compound: Nb2VFe
Source: Alexandria via LeMat-Bulk
Functional: PBE-GGA
Structure: relaxed

Cell lengths 3.116, 3.116, 6.236 Å; angles 90.00, 90.00, 90.00 degrees
Space group P4/mmm (No. 123)
Symmetry-distinct sites (fractional):
1 Nb 0.000 0.000 0.245 [2 per cell]
2 V 0.500 0.500 0.500 [1 per cell]
3 Fe 0.500 0.500 0.000 [1 per cell]

Summary:
- total energy (eV per atom) = -9.48
- mass density (g/cm³) = 8.0
- Fermi-level density of states (states/eV/atom) = 0.724

=====

No. 14
Compound: TmPF
Source: Alexandria via LeMat-Bulk
Functional: PBE-GGA
Structure: relaxed

Cell lengths 8.768, 4.040, 6.575 Å; angles 90.00, 92.37, 90.00 degrees
Space group C2/m (No. 12)
Symmetry-distinct sites (fractional):
1 Tm 0.230 0.000 0.255 [4 per cell]
2 P 0.076 0.000 0.871 [4 per cell]
3 F 0.183 0.500 0.412 [4 per cell]

Summary:
- total energy (eV per atom) = -6.26
- mass density (g/cm³) = 6.2

=====

No. 15
Compound: Pa2NbS6
Source: Alexandria via LeMat-Bulk
Functional: PBE-GGA
Structure: relaxed

Cell lengths 3.6553, 3.6553, 20.9132 Å; angles 90.00, 90.00, 120.00 degrees
Space group P-6m2 (No. 187)
Symmetry-distinct sites (fractional):
1 Pa 0.0000 0.0000 0.1790 [2 per cell]
2 Nb 0.6667 0.3333 0.5000 [1 per cell]
3 S 0.0000 0.0000 0.4292 [2 per cell]
4 S 0.6667 0.3333 0.0986 [2 per cell]
5 S 0.6667 0.3333 0.2591 [2 per cell]

Summary:
- total energy (eV per atom) = -7.18
- mass density (g/cm³) = 5.1
- Fermi-level density of states (states/eV/atom) = 0.411

=====

No. 16
Compound: Ni2AgOs
Source: Alexandria via LeMat-Bulk
Functional: PBE-GGA
Structure: relaxed

Cell lengths 6.000, 6.000, 6.000 Å; angles 90.00, 90.00, 90.00 degrees
Space group Fm-3m (No. 225)
Symmetry-distinct sites (fractional):
1 Ni 0.250 0.250 0.250 [8 per cell]
2 Ag 0.000 0.000 0.000 [4 per cell]
3 Os 0.000 0.000 0.500 [4 per cell]

Summary:
- total energy (eV per atom) = -5.89
- mass density (g/cm³) = 12.8
- Fermi-level density of states (states/eV/atom) = 2.784

=====

No. 17
Compound: AgHRh
Source: Alexandria via LeMat-Bulk
Functional: PBE-GGA
Structure: relaxed

Cell lengths 2.740, 2.740, 9.859 Å; angles 90.00, 90.00, 90.00 degrees
Space group I4mm (No. 107)
Symmetry-distinct sites (fractional):
1 Ag 0.000 0.000 0.000 [2 per cell]
2 H 0.000 0.000 0.246 [2 per cell]
3 Rh 0.000 0.000 0.723 [2 per cell]

Summary:
- total energy (eV per atom) = -4.30
- mass density (g/cm³) = 9.5
- Fermi-level density of states (states/eV/atom) = 0.956

=====

No. 18
Compound: TbZnCd3
Source: Alexandria via LeMat-Bulk
Functional: PBE-GGA
Structure: relaxed

Cell lengths 9.067, 4.213, 11.834 Å; angles 90.00, 90.00, 90.00 degrees
Space group Pnma (No. 62)
Symmetry-distinct sites (fractional):
1 Tb 0.180 0.250 0.004 [4 per cell]
2 Zn 0.133 0.250 0.630 [4 per cell]
3 Cd 0.064 0.250 0.406 [4 per cell]
4 Cd 0.090 0.750 0.205 [4 per cell]
5 Cd 0.145 0.750 0.796 [4 per cell]

Summary:
- total energy (eV per atom) = -1.93
- mass density (g/cm³) = 8.3
- Fermi-level density of states (states/eV/atom) = 0.413

=====

No. 19
Compound: BaSiMo2
Source: Alexandria via LeMat-Bulk
Functional: PBE-GGA
Structure: relaxed

Cell lengths 3.2847, 3.2847, 27.6221 Å; angles 90.00, 90.00, 120.00 degrees
Space group R3m (No. 160, hexagonal axes)
Symmetry-distinct sites (fractional):
1 Ba 0.0000 0.0000 0.0000 [3 per cell]
2 Si 0.0000 0.0000 0.2356 [3 per cell]
3 Mo 0.0000 0.0000 0.5032 [3 per cell]
4 Mo 0.0000 0.0000 0.7739 [3 per cell]

Summary:
- total energy (eV per atom) = -6.61
- mass density (g/cm³) = 6.9
- Fermi-level density of states (states/eV/atom) = 0.961

=====

No. 20
Compound: SiAsH2
Source: Alexandria via LeMat-Bulk
Functional: PBE-GGA
Structure: relaxed

Cell lengths 5.411, 5.411, 5.411 Å; angles 90.00, 90.00, 90.00 degrees
Space group Fm-3m (No. 225)
Symmetry-distinct sites (fractional):
1 Si 0.000 0.000 0.000 [4 per cell]
2 As 0.000 0.000 0.500 [4 per cell]
3 H 0.250 0.250 0.250 [8 per cell]

Summary:
- total energy (eV per atom) = -3.41
- mass density (g/cm³) = 4.4
- Fermi-level density of states (states/eV/atom) = 0.339

=====

No. 21
Compound: NaNd4Tl7
Source: Alexandria via LeMat-Bulk
Functional: PBE-GGA
Structure: relaxed

Cell lengths 14.045, 5.563, 11.748 Å; angles 90.00, 123.27, 90.00 degrees
Space group C2/m (No. 12)
Symmetry-distinct sites (fractional):
1 Na 0.000 0.000 0.000 [2 per cell]
2 Nd 0.084 0.500 0.782 [4 per cell]
3 Nd 0.223 0.500 0.332 [4 per cell]
4 Tl 0.000 0.500 0.000 [2 per cell]
5 Tl 0.082 0.000 0.322 [4 per cell]
6 Tl 0.130 0.500 0.540 [4 per cell]
7 Tl 0.224 0.000 0.901 [4 per cell]

Summary:
- total energy (eV per atom) = -3.24
- mass density (g/cm³) = 8.8
- Fermi-level density of states (states/eV/atom) = 0.484

=====

No. 22
Compound: YTi2AsW
Source: Alexandria via LeMat-Bulk
Functional: PBE-GGA
Structure: relaxed

Cell lengths 4.724, 4.724, 4.998 Å; angles 90.00, 90.00, 90.00 degrees
Space group P4/mmm (No. 123)
Symmetry-distinct sites (fractional):
1 Y 0.000 0.000 0.000 [1 per cell]
2 Ti 0.000 0.500 0.000 [2 per cell]
3 As 0.000 0.000 0.500 [1 per cell]
4 W 0.500 0.500 0.500 [1 per cell]

Summary:
- total energy (eV per atom) = -6.02
- mass density (g/cm³) = 6.6
- Fermi-level density of states (states/eV/atom) = 1.788

=====

No. 23
Compound: ThPaTe6
Source: Alexandria via LeMat-Bulk
Functional: PBE-GGA
Structure: relaxed

Cell lengths 7.436, 12.598, 7.679 Å; angles 90.00, 111.32, 90.00 degrees
Space group C2/m (No. 12)
Symmetry-distinct sites (fractional):
1 Th 0.000 0.000 0.000 [2 per cell]
2 Pa 0.000 0.500 0.500 [2 per cell]
3 Te 0.166 0.000 0.659 [4 per cell]
4 Te 0.193 0.337 0.779 [8 per cell]

Summary:
- total energy (eV per atom) = -5.02
- mass density (g/cm³) = 6.1
- Fermi-level density of states (states/eV/atom) = 1.069

=====

No. 24
Compound: DyMgCuAg
Source: Alexandria via LeMat-Bulk
Functional: PBE-GGA
Structure: relaxed

Cell lengths 6.844, 6.844, 6.844 Å; angles 90.00, 90.00, 90.00 degrees
Space group F-43m (No. 216)
Symmetry-distinct sites (fractional):
1 Dy 0.000 0.000 0.000 [4 per cell]
2 Mg 0.000 0.000 0.500 [4 per cell]
3 Cu 0.250 0.250 0.250 [4 per cell]
4 Ag 0.250 0.250 0.750 [4 per cell]

Summary:
- total energy (eV per atom) = -3.51
- mass density (g/cm³) = 7.4
- Fermi-level density of states (states/eV/atom) = 1.088

=====

No. 25
Compound: Rb3SrGa
Source: Alexandria via LeMat-Bulk
Functional: PBE-GGA
Structure: relaxed

Cell lengths 7.004, 7.004, 7.004 Å; angles 90.00, 90.00, 90.00 degrees
Space group Pm-3m (No. 221)
Symmetry-distinct sites (fractional):
1 Rb 0.000 0.000 0.500 [3 per cell]
2 Sr 0.500 0.500 0.500 [1 per cell]
3 Ga 0.000 0.000 0.000 [1 per cell]

Summary:
- total energy (eV per atom) = -1.25
- mass density (g/cm³) = 2.0
- Fermi-level density of states (states/eV/atom) = 0.870